Compound: Sc4MnAg
Source: the Alexandria database
Functional: SCAN
Structure: single point on PBEsol structure

Cell and atoms, written as POSCAR:
```
Sc4MnAg
1.0
5.595 0.000 0.000
2.798 4.845 0.000
2.798 1.615 4.568
Ag Mn Sc
1 1 4
direct
0.750 0.750 0.750
0.000 0.000 0.000
0.374 0.374 0.877
0.877 0.374 0.374
0.374 0.374 0.374
0.374 0.877 0.374
```

Calculated values
The density of states at the Fermi level comes out at 0.781 states/eV per atom. The energy of formation is 368.9 meV per atom.